# Li4Mn3Cr3Sn2O16

Li4Mn3Cr3Sn2O16 at its PBEsol-relaxed geometry (SCAN, Alexandria via LeMat-Bulk).

## Properties
formation energy from raw total energies = -2267.1 meV per atom
D(E_F) = 2.3 states/eV/f.u.
electronic total energy = -12.661 eV per atom

The structure in POSCAR format:
```
Li4Mn3Cr3Sn2O16
1.0
5.805 0.041 -0.012
2.886 5.036 -0.012
0.077 0.045 9.581
Li Mn Cr Sn O
4 3 3 2 16
Direct
0.331 0.331 0.103 Li
0.002 0.002 0.006 Li
0.004 0.004 0.505 Li
0.663 0.663 0.604 Li
0.169 0.169 0.785 Mn
0.830 0.340 0.285 Mn
0.340 0.830 0.285 Mn
0.662 0.168 0.785 Cr
0.168 0.662 0.785 Cr
0.832 0.832 0.285 Cr
0.335 0.335 0.508 Sn
0.668 0.668 0.008 Sn
0.686 0.162 0.398 O
0.483 0.483 0.664 O
0.328 0.328 0.890 O
0.004 0.004 0.691 O
0.003 0.003 0.192 O
0.162 0.686 0.398 O
0.480 0.030 0.667 O
0.030 0.480 0.667 O
0.843 0.843 0.902 O
0.161 0.161 0.395 O
0.966 0.511 0.167 O
0.511 0.966 0.167 O
0.665 0.665 0.390 O
0.845 0.318 0.897 O
0.516 0.516 0.166 O
0.318 0.845 0.897 O
```